The following is a DFT calculation (PBE-GGA) of an optimized crystal structure of Tb2PtAu6.

CIF file:
```
data_Tb2PtAu6
_chemical_formula_sum 'Tb2 Pt1 Au6'
_cell_length_a 4.002
_cell_length_b 7.172
_cell_length_c 7.085
_cell_angle_alpha 112.52
_cell_angle_beta 106.41
_cell_angle_gamma 90.00
_space_group_name_H-M_alt 'P 1'
_space_group_IT_number 1
loop_
_space_group_symop_operation_xyz
'x,y,z'
loop_
_atom_site_label
_atom_site_type_symbol
_atom_site_fract_x
_atom_site_fract_y
_atom_site_fract_z
Tb1 Tb 0.940 0.186 0.880
Au1 Au 0.833 0.497 0.666
Au2 Au 0.729 0.825 0.457
Au3 Au 0.167 0.503 0.334
Tb2 Tb 0.060 0.814 0.120
Au4 Au 0.394 0.830 0.788
Au5 Au 0.271 0.175 0.543
Pt1 Pt 0.500 0.500 0.000
Au6 Au 0.606 0.170 0.212
```

Output
Fermi-level density of states: 2.71 states/eV per cell
SG: C2/m, No. 12
Formation enthalpy at 0 K: -0.61 eV/atom
Crystal system: monoclinic
E_tot: -4.498 eV/atom